[1]
Below is Cd3RuO at its PBEsol-relaxed geometry, with properties calculated at the SCAN level.

Cell: 4.4139 4.4139 4.4139 Å, 90.00 90.00 90.00°
Fractional positions:
Ru  0.5000  0.5000  0.5000
O  0.0000  0.0000  0.0000
Cd  0.0000  0.5000  0.0000
Cd  0.0000  0.0000  0.5000
Cd  0.5000  0.0000  0.0000

Results
* E_form (uncorrected): 21 kJ per mole of atoms

=====

[2]
Below is KAgRu at its PBEsol-relaxed geometry, with properties calculated at the SCAN level.

Cell: 4.6252 4.6252 4.6252 Å, 60.00 60.00 60.00°
Fractional positions:
Ag  0.0000  0.0000  0.0000
K  0.5000  0.5000  0.5000
Ru  0.2500  0.2500  0.2500

Results
* ΔH_f (0 K): 1.470 eV/atom

=====

[3]
Below is BaLi3As at its PBEsol-relaxed geometry, with properties calculated at the SCAN level.

Cell: 4.9314 4.9314 4.9314 Å, 90.00 90.00 90.00°
Fractional positions:
As  0.0000  0.0000  0.0000
Ba  0.5000  0.5000  0.5000
Li  0.0000  0.5000  0.0000
Li  0.0000  0.0000  0.5000
Li  0.5000  0.0000  0.0000

Results
* ΔH_f (0 K): -0.409 eV/atom